(P)
DFT (PBE) results for a geometry-optimized La3Pr7Sm structure.

a b c (Å): 6.589 7.956 7.956
angles (deg): 81.87 86.22 86.22
Positions (direct):
La: 0.000 0.826 0.174
La: 0.500 0.000 0.000
La: 0.000 0.174 0.826
Pr: 0.786 0.237 0.237
Pr: 0.738 0.917 0.571
Pr: 0.262 0.429 0.083
Pr: 0.738 0.571 0.917
Pr: 0.000 0.500 0.500
Pr: 0.262 0.083 0.429
Pr: 0.214 0.763 0.763
Sm: 0.500 0.500 0.500

Summary:
Total moment   0.00 μB per formula unit
Fermi-level density of states   16.48 states/eV/cell

(Q)
DFT (PBE) results for a geometry-optimized La3Pr7Sm structure.

a b c (Å): 6.074 8.746 8.746
angles (deg): 82.64 110.27 110.27
Positions (direct):
La: 0.000 0.789 0.211
La: 0.500 0.000 0.000
La: 0.000 0.211 0.789
Pr: 0.208 0.208 0.208
Pr: 0.300 0.003 0.597
Pr: 0.700 0.403 0.997
Pr: 0.300 0.597 0.003
Pr: 0.000 0.500 0.500
Pr: 0.700 0.997 0.403
Pr: 0.792 0.792 0.792
Sm: 0.500 0.500 0.500

Summary:
Total moment   0.00 μB per formula unit
Fermi-level density of states   17.23 states/eV/cell

Tell me which of them is the least stable. Sure, it is (Q).